1.
A plane-wave DFT calculation with PBE was carried out for a relaxed AcPaCo2Ge2 crystal.

Cell lengths 4.2630, 4.2630, 7.7459 Å; angles 90.00, 90.00, 120.00 degrees
Space group P-3m1 (No. 164)
Symmetry-distinct sites (fractional):
1 Ac 0.0000 0.0000 0.0000 (multiplicity 1)
2 Pa 0.0000 0.0000 0.5000 (multiplicity 1)
3 Co 0.3333 0.6667 0.6863 (multiplicity 2)
4 Ge 0.3333 0.6667 0.2773 (multiplicity 2)

2.
A plane-wave DFT calculation with PBE was carried out for a relaxed AcCoGe2Pd crystal.

Cell lengths 4.353, 4.353, 10.413 Å; angles 90.00, 90.00, 90.00 degrees
Space group I-4m2 (No. 119)
Symmetry-distinct sites (fractional):
1 Ac 0.000 0.000 0.000 (multiplicity 2)
2 Co 0.000 0.500 0.250 (multiplicity 2)
3 Ge 0.000 0.000 0.368 (multiplicity 4)
4 Pd 0.000 0.500 0.750 (multiplicity 2)

3.
A plane-wave DFT calculation with PBE was carried out for a relaxed Ac2CoGePd6 crystal.

Cell lengths 12.135, 5.573, 8.413 Å; angles 90.00, 132.73, 90.00 degrees
Space group C2/m (No. 12)
Symmetry-distinct sites (fractional):
1 Ac 0.240 0.000 0.205 (multiplicity 4)
2 Co 0.000 0.500 0.000 (multiplicity 2)
3 Ge 0.000 0.000 0.500 (multiplicity 2)
4 Pd 0.001 0.253 0.255 (multiplicity 8)
5 Pd 0.248 0.500 0.390 (multiplicity 4)

4.
A plane-wave DFT calculation with PBE was carried out for a relaxed Ac2CoGe3Pt4 crystal.

Cell lengths 4.467, 4.467, 10.156 Å; angles 90.00, 90.00, 90.00 degrees
Space group P-4m2 (No. 115)
Symmetry-distinct sites (fractional):
1 Ac 0.000 0.500 0.243 (multiplicity 2)
2 Co 0.500 0.500 0.000 (multiplicity 1)
3 Ge 0.000 0.000 0.000 (multiplicity 1)
4 Ge 0.000 0.500 0.627 (multiplicity 2)
5 Pt 0.000 0.000 0.500 (multiplicity 1)
6 Pt 0.000 0.500 0.877 (multiplicity 2)
7 Pt 0.500 0.500 0.500 (multiplicity 1)

5.
A plane-wave DFT calculation with PBE was carried out for a relaxed Ac2CoGePt6 crystal.

Cell lengths 12.244, 5.567, 8.418 Å; angles 90.00, 132.57, 90.00 degrees
Space group C2/m (No. 12)
Symmetry-distinct sites (fractional):
1 Ac 0.242 0.000 0.201 (multiplicity 4)
2 Co 0.000 0.500 0.000 (multiplicity 2)
3 Ge 0.000 0.000 0.500 (multiplicity 2)
4 Pt 0.009 0.253 0.260 (multiplicity 8)
5 Pt 0.248 0.500 0.383 (multiplicity 4)

6.
A plane-wave DFT calculation with PBE was carried out for a relaxed Ac2CoGe4Pt3 crystal.

Cell lengths 4.416, 4.416, 10.334 Å; angles 90.00, 90.00, 90.00 degrees
Space group P-4m2 (No. 115)
Symmetry-distinct sites (fractional):
1 Ac 0.000 0.500 0.249 (multiplicity 2)
2 Co 0.500 0.500 0.000 (multiplicity 1)
3 Ge 0.000 0.000 0.500 (multiplicity 1)
4 Ge 0.000 0.500 0.879 (multiplicity 2)
5 Ge 0.500 0.500 0.500 (multiplicity 1)
6 Pt 0.000 0.000 0.000 (multiplicity 1)
7 Pt 0.000 0.500 0.629 (multiplicity 2)

7.
A plane-wave DFT calculation with PBE was carried out for a relaxed AcPuCoGe2 crystal.

Cell lengths 5.326, 6.716, 6.304 Å; angles 90.00, 90.00, 90.00 degrees
Space group Pmma (No. 51)
Symmetry-distinct sites (fractional):
1 Ac 0.250 0.000 0.236 (multiplicity 2)
2 Pu 0.250 0.500 0.370 (multiplicity 2)
3 Co 0.000 0.500 0.000 (multiplicity 2)
4 Ge 0.250 0.275 0.778 (multiplicity 4)

8.
A plane-wave DFT calculation with PBE was carried out for a relaxed Ac2CoGe4Rh3 crystal.

Cell lengths 4.398, 4.398, 10.067 Å; angles 90.00, 90.00, 90.00 degrees
Space group P-4m2 (No. 115)
Symmetry-distinct sites (fractional):
1 Ac 0.000 0.500 0.249 (multiplicity 2)
2 Co 0.500 0.500 0.000 (multiplicity 1)
3 Ge 0.000 0.000 0.500 (multiplicity 1)
4 Ge 0.000 0.500 0.882 (multiplicity 2)
5 Ge 0.500 0.500 0.500 (multiplicity 1)
6 Rh 0.000 0.000 0.000 (multiplicity 1)
7 Rh 0.000 0.500 0.627 (multiplicity 2)

Number 1: energy of formation from the pure elements -0.5399 eV per atom. Number 2: energy of formation from the pure elements -0.6211 eV per atom. Number 3: energy of formation from the pure elements -0.5627 eV per atom. Number 4: energy of formation from the pure elements -0.8066 eV per atom. Number 5: energy of formation from the pure elements -0.7484 eV per atom. Number 6: energy of formation from the pure elements -0.8328 eV per atom. Number 7: energy of formation from the pure elements -0.3715 eV per atom. Number 8: energy of formation from the pure elements -0.7336 eV per atom.